# UCoB3

A relaxed structure of UCoB3 (PBE, Alexandria via LeMat-Bulk).

Lattice parameters (Å, degrees): 10.807 10.807 3.021 90.00 90.00 163.08
Positions (direct):
U 0.084 0.916 0.750
U 0.916 0.084 0.250
Co 0.213 0.787 0.250
Co 0.787 0.213 0.750
B 0.309 0.691 0.250
B 0.346 0.654 0.750
B 0.486 0.514 0.750
B 0.514 0.486 0.250
B 0.654 0.346 0.250
B 0.691 0.309 0.750

Computed properties:
ΔH_f (0 K) (kJ per mole of atoms): -31
Space-group type: Cmcm, No. 63
Final energy (Ha/atom): -0.294